1.
# TbCe2Rh2, relaxed, DFT PBE-GGA
# Energy of formation from the pure elements (meV per atom): -286
# Uncorrected energy (eV per atom): -6.526
# E above lowest polymorph (meV/atom): 344
# Size of the total moment (μB/cell): 0.00
data_TbCe2Rh2
_chemical_formula_sum 'Tb2 Ce4 Rh4'
_symmetry_space_group_name_H-M 'C m m m'
_symmetry_Int_Tables_number 65
_symmetry_space_group_name_Hall '-C 2 2'
_cell_length_a 5.265
_cell_length_b 7.206
_cell_length_c 5.907
_cell_angle_alpha 90.00
_cell_angle_beta 90.00
_cell_angle_gamma 90.00
loop_
_atom_site_label
_atom_site_fract_x
_atom_site_fract_y
_atom_site_fract_z
Tb1 0.000 0.000 0.000
Ce1 0.000 0.193 0.500
Rh1 0.000 0.500 0.243


2.
# TbCeRh, relaxed, DFT PBE-GGA
# Energy of formation from the pure elements (meV per atom): -457
# Uncorrected energy (eV per atom): -6.429
# E above lowest polymorph (meV/atom): 0
# Size of the total moment (μB/cell): 2.90
data_TbCeRh
_chemical_formula_sum 'Tb2 Ce2 Rh2'
_symmetry_space_group_name_H-M 'I 4 m m'
_symmetry_Int_Tables_number 107
_symmetry_space_group_name_Hall 'I 4 -2'
_cell_length_a 3.518
_cell_length_b 3.518
_cell_length_c 12.053
_cell_angle_alpha 90.00
_cell_angle_beta 90.00
_cell_angle_gamma 90.00
loop_
_atom_site_label
_atom_site_fract_x
_atom_site_fract_y
_atom_site_fract_z
Tb1 0.000 0.000 0.000
Ce1 0.000 0.000 0.726
Rh1 0.000 0.000 0.358


3.
# TbCeRh2, relaxed, DFT PBE-GGA
# Energy of formation from the pure elements (meV per atom): -712
# Uncorrected energy (eV per atom): -7.029
# Size of the total moment (μB/cell): 0.00
data_TbCeRh2
_chemical_formula_sum 'Tb4 Ce4 Rh8'
_symmetry_space_group_name_H-M 'P 1 2/c 1'
_symmetry_Int_Tables_number 13
_cell_length_a 5.710
_cell_length_b 5.562
_cell_length_c 11.763
_cell_angle_alpha 90.00
_cell_angle_beta 109.12
_cell_angle_gamma 90.00
loop_
_symmetry_equiv_pos_as_xyz
'x,y,z'
'-x,-y,-z'
'-x,y,-z+1/2'
'x,-y,z+1/2'
loop_
_atom_site_label
_atom_site_fract_x
_atom_site_fract_y
_atom_site_fract_z
Tb1 0.058 0.250 0.109
Ce1 0.418 0.250 0.888
Rh1 0.113 0.249 0.654
Rh2 0.422 0.250 0.357


4.
# TbCeRh2, relaxed, DFT PBE-GGA
# Energy of formation from the pure elements (meV per atom): -758
# Uncorrected energy (eV per atom): -7.075
# Size of the total moment (μB/cell): 0.10
data_TbCeRh2
_chemical_formula_sum 'Tb1 Ce1 Rh2'
_symmetry_space_group_name_H-M 'P 4/m m m'
_symmetry_Int_Tables_number 123
_symmetry_space_group_name_Hall '-P 4 2'
_cell_length_a 3.455
_cell_length_b 3.455
_cell_length_c 6.979
_cell_angle_alpha 90.00
_cell_angle_beta 90.00
_cell_angle_gamma 90.00
loop_
_atom_site_label
_atom_site_fract_x
_atom_site_fract_y
_atom_site_fract_z
Tb1 0.000 0.000 0.000
Ce1 0.000 0.000 0.500
Rh1 0.500 0.500 0.257


5.
# Tb3CeRh8, relaxed, DFT PBE-GGA
# Energy of formation from the pure elements (meV per atom): -728
# Uncorrected energy (eV per atom): -7.281
# Size of the total moment (μB/cell): 0.53
data_Tb3CeRh8
_chemical_formula_sum 'Tb9 Ce3 Rh24'
_symmetry_space_group_name_H-M 'R 3 m'
_symmetry_Int_Tables_number 160
_symmetry_space_group_name_Hall 'R 3 -2"'
_cell_length_a 5.3527
_cell_length_b 5.3527
_cell_length_c 26.1899
_cell_angle_alpha 90.00
_cell_angle_beta 90.00
_cell_angle_gamma 120.00
loop_
_atom_site_label
_atom_site_fract_x
_atom_site_fract_y
_atom_site_fract_z
Tb1 0.0000 0.0000 0.0000
Tb2 0.0000 0.0000 0.1249
Tb3 0.0000 0.0000 0.4990
Ce1 0.0000 0.0000 0.6241
Rh1 0.0000 0.0000 0.3122
Rh2 0.0000 0.0000 0.8120
Rh3 0.0014 0.5007 0.5622
Rh4 0.1670 0.3340 0.3953


6.
# TbCe2Rh9, relaxed, DFT PBE-GGA
# Energy of formation from the pure elements (meV per atom): -561
# Uncorrected energy (eV per atom): -7.449
# Size of the total moment (μB/cell): 0.00
data_TbCe2Rh9
_chemical_formula_sum 'Tb3 Ce6 Rh27'
_symmetry_space_group_name_H-M 'R -3 m'
_symmetry_Int_Tables_number 166
_symmetry_space_group_name_Hall '-R 3 2"'
_cell_length_a 5.2569
_cell_length_b 5.2569
_cell_length_c 26.5471
_cell_angle_alpha 90.00
_cell_angle_beta 90.00
_cell_angle_gamma 120.00
loop_
_atom_site_label
_atom_site_fract_x
_atom_site_fract_y
_atom_site_fract_z
Tb1 0.0000 0.0000 0.0000
Ce1 0.0000 0.0000 0.1386
Rh1 0.0000 0.0000 0.3330
Rh2 0.0000 0.0000 0.5000
Rh3 0.0020 0.5010 0.9172


7.
# Tb2CeRh, relaxed, DFT PBE-GGA
# Energy of formation from the pure elements (meV per atom): -104
# Uncorrected energy (eV per atom): -5.741
# E above lowest polymorph (meV/atom): 351
# Size of the total moment (μB/cell): 4.91
data_Tb2CeRh
_chemical_formula_sum 'Tb6 Ce3 Rh3'
_symmetry_space_group_name_H-M 'R -3 m'
_symmetry_Int_Tables_number 166
_symmetry_space_group_name_Hall '-R 3 2"'
_cell_length_a 3.6064
_cell_length_b 3.6064
_cell_length_c 31.4164
_cell_angle_alpha 90.00
_cell_angle_beta 90.00
_cell_angle_gamma 120.00
loop_
_atom_site_label
_atom_site_fract_x
_atom_site_fract_y
_atom_site_fract_z
Tb1 0.0000 0.0000 0.1096
Ce1 0.0000 0.0000 0.0000
Rh1 0.0000 0.0000 0.5000


8.
# TbCeRh, relaxed, DFT PBE-GGA
# Energy of formation from the pure elements (meV per atom): -445
# Uncorrected energy (eV per atom): -6.416
# E above lowest polymorph (meV/atom): 13
# Size of the total moment (μB/cell): 1.26
data_TbCeRh
_chemical_formula_sum 'Tb2 Ce2 Rh2'
_symmetry_space_group_name_H-M 'P 1 m 1'
_symmetry_Int_Tables_number 6
_cell_length_a 4.695
_cell_length_b 4.664
_cell_length_c 7.046
_cell_angle_alpha 90.00
_cell_angle_beta 92.03
_cell_angle_gamma 90.00
loop_
_symmetry_equiv_pos_as_xyz
'x,y,z'
'x,-y,z'
loop_
_atom_site_label
_atom_site_fract_x
_atom_site_fract_y
_atom_site_fract_z
Tb1 0.000 0.000 0.000
Tb2 0.016 0.500 0.625
Ce1 0.498 0.000 0.389
Ce2 0.526 0.500 0.008
Rh1 0.101 0.500 0.240
Rh2 0.466 0.000 0.743